A plane-wave DFT calculation with PBE-GGA was carried out for Sm2HoTmTe6 after structural relaxation.

Computed properties:
E_form (uncorrected) (eV per atom): -1.36
Total magnetic moment (μB/f.u.): 0.0
VASP energy (eV/atom): -5.09

extended XYZ file:
```
10
Lattice="3.876 2.238 7.037 -3.876 2.238 7.037 0.000 -4.475 7.037" Properties=species:S:1:pos:R:3 pbc="T T T"
Sm 0.000 0.000 0.000
Sm 0.000 0.000 10.558
Ho 0.000 0.000 6.595
Tm 0.000 0.000 17.149
Te -2.424 -0.101 8.514
Te -1.467 -2.336 12.016
Te 1.299 -2.049 8.514
Te -1.289 2.438 12.016
Te 1.125 2.150 8.514
Te 2.756 -0.102 12.016
```